Compound: Rb2NaCaBr5
Source: Alexandria
Functional: PBE
Structure: optimized geometry

Lattice parameters (Å, degrees): 4.5017 9.8954 15.4121 90.00 90.00 103.15
Positions (direct):
Rb  0.1368  0.2736  0.3021
Rb  0.0904  0.1807  0.6610
Rb  0.8632  0.7264  0.8021
Rb  0.9096  0.8193  0.1610
Ca  0.7804  0.5608  0.5248
Ca  0.2196  0.4392  0.0248
Br  0.4978  0.9956  0.7789
Br  0.3678  0.7357  0.9930
Br  0.0709  0.1419  0.0569
Br  0.9291  0.8581  0.5569
Br  0.3022  0.6045  0.4028
Br  0.7311  0.4621  0.1536
Br  0.2689  0.5379  0.6536
Br  0.5022  0.0044  0.2789
Br  0.6322  0.2643  0.4930
Br  0.6978  0.3955  0.9028
Na  0.5421  0.0843  0.9509
Na  0.4579  0.9157  0.4509

Values from the calculation:
**M_tot**: 0.001 μB per atom
**Space group**: No. 36
**Formation energy (no corrections)**: -16.173 eV/f.u.
**DFT total energy**: -3.3104 eV/atom